No. 1
Compound: LuTlNiTe3
Source: OQMD
Functional: PBE
Structure: optimized geometry

Properties
- SG: No. 62
- Spin magnetization: 0.14 μB per formula unit
- Energy relative to the lowest polymorph listed for this composition: 0.107 eV per atom
- Volume: 28.45 A^3/atom
- Crystal system: orthorhombic

a = 10.115 Å, b = 4.213 Å, c = 16.022 Å
α = 90.00°, β = 90.00°, γ = 90.00°
Positions (direct):
1 Lu 0.840 0.750 0.047
2 Lu 0.340 0.750 0.453
3 Lu 0.660 0.250 0.547
4 Lu 0.160 0.250 0.953
5 Ni 0.168 0.750 0.136
6 Ni 0.668 0.750 0.364
7 Ni 0.332 0.250 0.636
8 Ni 0.832 0.250 0.864
9 Te 0.337 0.750 0.015
10 Te 0.026 0.250 0.121
11 Te 0.674 0.750 0.205
12 Te 0.174 0.750 0.295
13 Te 0.526 0.250 0.379
14 Te 0.837 0.750 0.485
15 Te 0.163 0.250 0.515
16 Te 0.474 0.750 0.621
17 Te 0.826 0.250 0.705
18 Te 0.326 0.250 0.795
19 Te 0.974 0.750 0.879
20 Te 0.663 0.250 0.985
21 Tl 0.392 0.250 0.186
22 Tl 0.892 0.250 0.314
23 Tl 0.108 0.750 0.686
24 Tl 0.608 0.750 0.814

No. 2
Compound: Tm6LuNi2Te2
Source: OQMD
Functional: PBE
Structure: optimized geometry

Properties
- SG: No. 44
- Spin magnetization: 0.00 μB per formula unit
- Electronic total energy: -5.11 eV per atom
- Volume: 25.10 A^3/atom
- Crystal system: orthorhombic

a = 9.202 Å, b = 9.202 Å, c = 9.202 Å
α = 156.07°, β = 67.20°, γ = 118.26°
Positions (direct):
1 Lu 0.001 0.001 0.000
2 Ni 0.305 0.069 0.236
3 Ni 0.833 0.069 0.764
4 Te 0.339 0.339 0.000
5 Te 0.734 0.234 0.500
6 Tm 0.717 0.582 0.135
7 Tm 0.691 0.377 0.315
8 Tm 0.083 0.729 0.354
9 Tm 0.376 0.729 0.646
10 Tm 0.062 0.377 0.685
11 Tm 0.448 0.582 0.865

No. 3
Compound: Y4Tm2LuNi2Te2
Source: OQMD
Functional: PBE
Structure: optimized geometry

Properties
- SG: No. 44
- Spin magnetization: 0.02 μB per formula unit
- Energy relative to the lowest polymorph listed for this composition: 0.012 eV per atom
- Volume: 26.01 A^3/atom
- Crystal system: orthorhombic

a = 9.330 Å, b = 9.330 Å, c = 9.330 Å
α = 156.32°, β = 67.52°, γ = 117.81°
Positions (direct):
1 Lu 0.475 0.475 0.000
2 Ni 0.635 0.400 0.235
3 Ni 0.165 0.400 0.765
4 Te 0.144 0.144 0.000
5 Te 0.738 0.238 0.500
6 Tm 0.106 0.751 0.355
7 Tm 0.397 0.751 0.645
8 Y 0.027 0.896 0.131
9 Y 0.413 0.097 0.315
10 Y 0.782 0.097 0.685
11 Y 0.765 0.896 0.869

No. 4
Compound: Y2Tm2Lu3Ni2Te2
Source: OQMD
Functional: PBE
Structure: optimized geometry

Properties
- SG: No. 44
- Spin magnetization: 0.01 μB per formula unit
- Energy relative to the lowest polymorph listed for this composition: 0.008 eV per atom
- Volume: 25.38 A^3/atom
- Crystal system: orthorhombic

a = 9.241 Å, b = 9.241 Å, c = 9.241 Å
α = 156.21°, β = 67.51°, γ = 117.88°
Positions (direct):
1 Lu 0.896 0.750 0.146
2 Lu 0.975 0.475 0.500
3 Lu 0.603 0.750 0.854
4 Ni 0.670 0.404 0.266
5 Ni 0.138 0.404 0.734
6 Te 0.237 0.237 0.000
7 Te 0.643 0.143 0.500
8 Tm 0.282 0.097 0.186
9 Tm 0.911 0.097 0.814
10 Y 0.264 0.895 0.368
11 Y 0.527 0.895 0.632

No. 5
Compound: Y4Tm2LuNi2Te2
Source: OQMD
Functional: PBE
Structure: optimized geometry

Properties
- SG: No. 44
- Spin magnetization: 0.03 μB per formula unit
- Energy relative to the lowest polymorph listed for this composition: 0.010 eV per atom
- Volume: 26.06 A^3/atom
- Crystal system: orthorhombic

a = 9.341 Å, b = 9.341 Å, c = 9.341 Å
α = 156.25°, β = 67.07°, γ = 118.32°
Positions (direct):
1 Lu 0.477 0.477 0.000
2 Ni 0.645 0.404 0.240
3 Ni 0.164 0.404 0.760
4 Te 0.139 0.139 0.000
5 Te 0.743 0.243 0.500
6 Tm 0.028 0.895 0.133
7 Tm 0.762 0.895 0.867
8 Y 0.414 0.098 0.316
9 Y 0.101 0.747 0.355
10 Y 0.392 0.747 0.645
11 Y 0.782 0.098 0.684

No. 6
Compound: Y2Tm2Lu3Ni2Te2
Source: OQMD
Functional: PBE
Structure: optimized geometry

Properties
- SG: No. 44
- Spin magnetization: 0.01 μB per formula unit
- Energy relative to the lowest polymorph listed for this composition: 0.020 eV per atom
- Volume: 25.32 A^3/atom
- Crystal system: orthorhombic

a = 9.244 Å, b = 9.244 Å, c = 9.244 Å
α = 156.25°, β = 67.32°, γ = 118.05°
Positions (direct):
1 Lu 0.895 0.749 0.146
2 Lu 0.975 0.475 0.500
3 Lu 0.603 0.749 0.854
4 Ni 0.663 0.401 0.262
5 Ni 0.139 0.401 0.738
6 Te 0.243 0.243 0.000
7 Te 0.640 0.140 0.500
8 Tm 0.263 0.896 0.367
9 Tm 0.529 0.896 0.633
10 Y 0.284 0.099 0.185
11 Y 0.914 0.099 0.815

No. 7
Compound: Y4Tm2LuNi2Te2
Source: OQMD
Functional: PBE
Structure: optimized geometry

Properties
- SG: No. 44
- Spin magnetization: 0.03 μB per formula unit
- Energy relative to the lowest polymorph listed for this composition: 0.000 eV per atom
- Volume: 25.93 A^3/atom
- Crystal system: orthorhombic

a = 9.323 Å, b = 9.323 Å, c = 9.323 Å
α = 156.21°, β = 67.00°, γ = 118.40°
Positions (direct):
1 Lu 0.477 0.477 0.000
2 Ni 0.645 0.407 0.237
3 Ni 0.170 0.407 0.763
4 Te 0.142 0.142 0.000
5 Te 0.738 0.238 0.500
6 Tm 0.411 0.095 0.315
7 Tm 0.780 0.095 0.685
8 Y 0.026 0.894 0.131
9 Y 0.101 0.747 0.354
10 Y 0.393 0.747 0.646
11 Y 0.763 0.894 0.869

No. 8
Compound: YTm4Lu2Ni2Te2
Source: OQMD
Functional: PBE
Structure: optimized geometry

Properties
- SG: No. 44
- Spin magnetization: 0.02 μB per formula unit
- Energy relative to the lowest polymorph listed for this composition: 0.000 eV per atom
- Volume: 25.20 A^3/atom
- Crystal system: orthorhombic

a = 9.226 Å, b = 9.226 Å, c = 9.226 Å
α = 156.14°, β = 67.06°, γ = 118.38°
Positions (direct):
1 Lu 0.412 0.097 0.315
2 Lu 0.782 0.097 0.685
3 Ni 0.644 0.405 0.238
4 Ni 0.167 0.405 0.762
5 Te 0.141 0.141 0.000
6 Te 0.742 0.242 0.500
7 Tm 0.028 0.895 0.133
8 Tm 0.099 0.746 0.352
9 Tm 0.394 0.746 0.648
10 Tm 0.762 0.895 0.867
11 Y 0.477 0.477 0.000

No. 9
Compound: Y2Tm2Lu3Ni2Te2
Source: OQMD
Functional: PBE
Structure: optimized geometry

Properties
- SG: No. 44
- Spin magnetization: 0.00 μB per formula unit
- Energy relative to the lowest polymorph listed for this composition: 0.005 eV per atom
- Volume: 25.31 A^3/atom
- Crystal system: orthorhombic

a = 9.235 Å, b = 9.235 Å, c = 9.235 Å
α = 156.10°, β = 67.07°, γ = 118.39°
Positions (direct):
1 Lu 0.477 0.477 0.000
2 Lu 0.028 0.894 0.134
3 Lu 0.760 0.894 0.866
4 Ni 0.648 0.407 0.241
5 Ni 0.167 0.407 0.759
6 Te 0.137 0.137 0.000
7 Te 0.743 0.243 0.500
8 Tm 0.413 0.098 0.315
9 Tm 0.782 0.098 0.685
10 Y 0.099 0.746 0.354
11 Y 0.392 0.746 0.646

No. 10
Compound: Y2TmLu4Ni2Te2
Source: OQMD
Functional: PBE
Structure: optimized geometry

Properties
- SG: No. 44
- Spin magnetization: 0.00 μB per formula unit
- Energy relative to the lowest polymorph listed for this composition: 0.000 eV per atom
- Volume: 25.24 A^3/atom
- Crystal system: orthorhombic

a = 9.224 Å, b = 9.224 Å, c = 9.224 Å
α = 156.05°, β = 66.94°, γ = 118.54°
Positions (direct):
1 Lu 0.027 0.893 0.134
2 Lu 0.413 0.098 0.315
3 Lu 0.782 0.098 0.685
4 Lu 0.759 0.893 0.866
5 Ni 0.649 0.409 0.240
6 Ni 0.169 0.409 0.760
7 Te 0.137 0.137 0.000
8 Te 0.743 0.243 0.500
9 Tm 0.477 0.477 0.000
10 Y 0.097 0.745 0.353
11 Y 0.392 0.745 0.647

No. 11
Compound: YTm4Lu2Ni2Te2
Source: OQMD
Functional: PBE
Structure: optimized geometry

Properties
- SG: No. 44
- Spin magnetization: 0.03 μB per formula unit
- Energy relative to the lowest polymorph listed for this composition: 0.006 eV per atom
- Volume: 25.28 A^3/atom
- Crystal system: orthorhombic

a = 9.235 Å, b = 9.235 Å, c = 9.235 Å
α = 156.13°, β = 67.03°, γ = 118.41°
Positions (direct):
1 Lu 0.099 0.747 0.352
2 Lu 0.395 0.747 0.648
3 Ni 0.642 0.404 0.238
4 Ni 0.166 0.404 0.762
5 Te 0.140 0.140 0.000
6 Te 0.743 0.243 0.500
7 Tm 0.028 0.895 0.133
8 Tm 0.412 0.098 0.314
9 Tm 0.784 0.098 0.686
10 Tm 0.761 0.895 0.867
11 Y 0.476 0.476 0.000

No. 12
Compound: YTm4Lu2Ni2Te2
Source: OQMD
Functional: PBE
Structure: optimized geometry

Properties
- SG: No. 44
- Spin magnetization: 0.01 μB per formula unit
- Energy relative to the lowest polymorph listed for this composition: 0.005 eV per atom
- Volume: 25.14 A^3/atom
- Crystal system: orthorhombic

a = 9.211 Å, b = 9.211 Å, c = 9.211 Å
α = 156.07°, β = 67.04°, γ = 118.43°
Positions (direct):
1 Lu 0.028 0.894 0.134
2 Lu 0.760 0.894 0.866
3 Ni 0.644 0.405 0.239
4 Ni 0.166 0.405 0.761
5 Te 0.138 0.138 0.000
6 Te 0.744 0.244 0.500
7 Tm 0.412 0.098 0.314
8 Tm 0.098 0.746 0.352
9 Tm 0.394 0.746 0.648
10 Tm 0.784 0.098 0.686
11 Y 0.477 0.477 0.000

No. 13
Compound: Y2TmLu4Ni2Te2
Source: OQMD
Functional: PBE
Structure: optimized geometry

Properties
- SG: No. 44
- Spin magnetization: 0.01 μB per formula unit
- Energy relative to the lowest polymorph listed for this composition: 0.022 eV per atom
- Volume: 25.12 A^3/atom
- Crystal system: orthorhombic

a = 9.213 Å, b = 9.213 Å, c = 9.213 Å
α = 156.18°, β = 67.27°, γ = 118.14°
Positions (direct):
1 Lu 0.029 0.895 0.133
2 Lu 0.101 0.748 0.353
3 Lu 0.395 0.748 0.647
4 Lu 0.762 0.895 0.867
5 Ni 0.641 0.401 0.239
6 Ni 0.162 0.401 0.761
7 Te 0.139 0.139 0.000
8 Te 0.744 0.244 0.500
9 Tm 0.475 0.475 0.000
10 Y 0.414 0.099 0.315
11 Y 0.784 0.099 0.685

No. 14
Compound: Y2Tm2Lu3Ni2Te2
Source: OQMD
Functional: PBE
Structure: optimized geometry

Properties
- SG: No. 44
- Spin magnetization: 0.02 μB per formula unit
- Energy relative to the lowest polymorph listed for this composition: 0.003 eV per atom
- Volume: 25.43 A^3/atom
- Crystal system: orthorhombic

a = 9.246 Å, b = 9.246 Å, c = 9.246 Å
α = 156.16°, β = 67.39°, γ = 118.02°
Positions (direct):
1 Lu 0.475 0.475 0.000
2 Lu 0.411 0.096 0.315
3 Lu 0.781 0.096 0.685
4 Ni 0.641 0.406 0.235
5 Ni 0.171 0.406 0.765
6 Te 0.143 0.143 0.000
7 Te 0.737 0.237 0.500
8 Tm 0.101 0.749 0.353
9 Tm 0.396 0.749 0.647
10 Y 0.027 0.895 0.132
11 Y 0.763 0.895 0.868

No. 15
Compound: Y4TmLu2Ni2Te2
Source: OQMD
Functional: PBE
Structure: optimized geometry

Properties
- SG: No. 44
- Spin magnetization: 0.00 μB per formula unit
- Energy relative to the lowest polymorph listed for this composition: 0.016 eV per atom
- Volume: 25.83 A^3/atom
- Crystal system: orthorhombic

a = 9.312 Å, b = 9.312 Å, c = 9.312 Å
α = 156.18°, β = 66.85°, γ = 118.58°
Positions (direct):
1 Lu 0.028 0.894 0.134
2 Lu 0.761 0.894 0.866
3 Ni 0.646 0.405 0.241
4 Ni 0.163 0.405 0.759
5 Te 0.136 0.136 0.000
6 Te 0.745 0.245 0.500
7 Tm 0.477 0.477 0.000
8 Y 0.415 0.099 0.316
9 Y 0.100 0.746 0.354
10 Y 0.392 0.746 0.646
11 Y 0.783 0.099 0.684

No. 16
Compound: Y2Tm2Lu3Ni2Te2
Source: OQMD
Functional: PBE
Structure: optimized geometry

Properties
- SG: No. 44
- Spin magnetization: 0.00 μB per formula unit
- Energy relative to the lowest polymorph listed for this composition: 0.019 eV per atom
- Volume: 25.28 A^3/atom
- Crystal system: orthorhombic

a = 9.240 Å, b = 9.240 Å, c = 9.240 Å
α = 156.23°, β = 67.20°, γ = 118.18°
Positions (direct):
1 Lu 0.475 0.475 0.000
2 Lu 0.029 0.895 0.133
3 Lu 0.762 0.895 0.867
4 Ni 0.641 0.402 0.240
5 Ni 0.162 0.402 0.760
6 Te 0.138 0.138 0.000
7 Te 0.744 0.244 0.500
8 Tm 0.102 0.748 0.354
9 Tm 0.394 0.748 0.646
10 Y 0.415 0.099 0.316
11 Y 0.783 0.099 0.684

No. 17
Compound: Y4TmLu2Ni2Te2
Source: OQMD
Functional: PBE
Structure: optimized geometry

Properties
- SG: No. 44
- Spin magnetization: 0.13 μB per formula unit
- Energy relative to the lowest polymorph listed for this composition: 0.000 eV per atom
- Volume: 25.77 A^3/atom
- Crystal system: orthorhombic

a = 9.275 Å, b = 9.275 Å, c = 9.275 Å
α = 156.11°, β = 67.58°, γ = 117.84°
Positions (direct):
1 Lu 0.411 0.096 0.315
2 Lu 0.780 0.096 0.685
3 Ni 0.647 0.411 0.236
4 Ni 0.175 0.411 0.764
5 Te 0.141 0.141 0.000
6 Te 0.737 0.237 0.500
7 Tm 0.475 0.475 0.000
8 Y 0.025 0.893 0.132
9 Y 0.100 0.746 0.354
10 Y 0.393 0.746 0.646
11 Y 0.762 0.893 0.868

No. 18
Compound: Y2Tm2Lu3Ni2Te2
Source: OQMD
Functional: PBE
Structure: optimized geometry

Properties
- SG: No. 44
- Spin magnetization: 0.01 μB per formula unit
- Energy relative to the lowest polymorph listed for this composition: 0.000 eV per atom
- Volume: 25.33 A^3/atom
- Crystal system: orthorhombic

a = 9.234 Å, b = 9.234 Å, c = 9.234 Å
α = 156.09°, β = 67.10°, γ = 118.36°
Positions (direct):
1 Lu 0.282 0.097 0.185
2 Lu 0.977 0.477 0.500
3 Lu 0.912 0.097 0.815
4 Ni 0.669 0.409 0.260
5 Ni 0.148 0.409 0.740
6 Te 0.241 0.241 0.000
7 Te 0.638 0.138 0.500
8 Tm 0.259 0.893 0.366
9 Tm 0.528 0.893 0.634
10 Y 0.893 0.746 0.147
11 Y 0.599 0.746 0.853

No. 19
Compound: Y4TmLu2Ni2Te2
Source: OQMD
Functional: PBE
Structure: optimized geometry

Properties
- SG: No. 44
- Spin magnetization: 0.03 μB per formula unit
- Energy relative to the lowest polymorph listed for this composition: 0.018 eV per atom
- Volume: 25.92 A^3/atom
- Crystal system: orthorhombic

a = 9.313 Å, b = 9.313 Å, c = 9.313 Å
α = 156.28°, β = 67.55°, γ = 117.80°
Positions (direct):
1 Lu 0.107 0.752 0.355
2 Lu 0.396 0.752 0.645
3 Ni 0.634 0.399 0.234
4 Ni 0.165 0.399 0.766
5 Te 0.143 0.143 0.000
6 Te 0.738 0.238 0.500
7 Tm 0.475 0.475 0.000
8 Y 0.027 0.896 0.131
9 Y 0.412 0.098 0.314
10 Y 0.784 0.098 0.686
11 Y 0.765 0.896 0.869

No. 20
Compound: Y2TmLu4Ni2Te2
Source: OQMD
Functional: PBE
Structure: optimized geometry

Properties
- SG: No. 44
- Spin magnetization: 0.04 μB per formula unit
- Energy relative to the lowest polymorph listed for this composition: 0.005 eV per atom
- Volume: 25.18 A^3/atom
- Crystal system: orthorhombic

a = 9.217 Å, b = 9.217 Å, c = 9.217 Å
α = 156.15°, β = 67.33°, γ = 118.09°
Positions (direct):
1 Lu 0.411 0.096 0.315
2 Lu 0.101 0.748 0.353
3 Lu 0.396 0.748 0.647
4 Lu 0.782 0.096 0.685
5 Ni 0.640 0.405 0.235
6 Ni 0.170 0.405 0.765
7 Te 0.143 0.143 0.000
8 Te 0.738 0.238 0.500
9 Tm 0.475 0.475 0.000
10 Y 0.027 0.895 0.132
11 Y 0.763 0.895 0.868

No. 21
Compound: Y6LuNi2Te2
Source: OQMD
Functional: PBE
Structure: optimized geometry

Properties
- SG: No. 44
- Spin magnetization: 0.01 μB per formula unit
- Electronic total energy: -6.19 eV per atom
- Volume: 26.51 A^3/atom
- Crystal system: orthorhombic

a = 9.397 Å, b = 9.397 Å, c = 9.397 Å
α = 156.27°, β = 67.03°, γ = 118.35°
Positions (direct):
1 Lu 0.477 0.477 0.000
2 Ni 0.643 0.405 0.238
3 Ni 0.167 0.405 0.762
4 Te 0.142 0.142 0.000
5 Te 0.741 0.241 0.500
6 Y 0.027 0.895 0.131
7 Y 0.413 0.097 0.316
8 Y 0.100 0.746 0.354
9 Y 0.392 0.746 0.646
10 Y 0.781 0.097 0.684
11 Y 0.764 0.895 0.869